A plane-wave DFT calculation with GGA-PBE was carried out for crystalline Tb3Nd2Hg2 at its relaxed geometry.

The space group is C2/m (No. 12) and the conventional cell measures 11.939, 4.772 and 8.361 Å, with angles of 90.00, 114.96 and 90.00 degrees. The inequivalent atoms are Tb at (0.000, 0.000, 0.000), Tb at (0.129, 0.000, 0.457), Nd at (0.133, 0.500, 0.787) and Hg at (0.153, 0.500, 0.198).

Its volume is 30.849 Å³ per atom. Its relative energy among the computed polymorphs is 0.009 eV/atom. For the energy, the calculation gives -3.631 eV per atom. The formation energy is -0.199 eV/atom.